# BaCa2Cr | Alexandria | PBEsol | relaxed
# * crystal system: orthorhombic
# * energy of formation: 562 meV per atom
# * V: 36.097 A^3/atom
# * energy above the most stable polymorph in this dataset: 0.297 eV/f.u.
# * N(E_F): 5.26 states/eV/f.u.
data_BaCa2Cr
_chemical_formula_sum 'Ba1 Ca2 Cr1'
_cell_length_a 5.0310
_cell_length_b 5.0520
_cell_length_c 5.6808
_cell_angle_alpha 90.00
_cell_angle_beta 90.00
_cell_angle_gamma 90.00
_symmetry_space_group_name_H-M 'P m m m'
_symmetry_Int_Tables_number 47
loop_
_symmetry_equiv_pos_as_xyz
'x,y,z'
'-x,-y,-z'
'-x,-y,z'
'x,y,-z'
'x,-y,-z'
'-x,y,z'
'-x,y,-z'
'x,-y,z'
loop_
_atom_site_label
_atom_site_fract_x
_atom_site_fract_y
_atom_site_fract_z
Ba1 0.0000 0.0000 0.0000
Ca1 0.0000 0.5000 0.5000
Ca2 0.5000 0.0000 0.5000
Cr1 0.5000 0.5000 0.0000